ScCd2In: optimized geometry, PBE-GGA. Values from VASP.

Structure (Quantum ESPRESSO input):
```
&SYSTEM
  ibrav = 0, nat = 4, ntyp = 3
/
ATOMIC_SPECIES
In 114.82 In.upf
Cd 112.41 Cd.upf
Sc 44.96 Sc.upf
CELL_PARAMETERS angstrom
-1.1235 -2.9480 -0.7061
1.5465 -1.5113 3.8494
-5.5800 1.4529 2.8122
ATOMIC_POSITIONS angstrom
In -2.8588 0.7444 1.4408
Cd -0.0082 0.0021 0.0041
Cd -1.1240 -1.8819 2.2447
Sc -3.9559 -1.1446 3.6720
```

Results
space-group type = Pmm2, No. 25
formation energy from the elements = -0.127 eV/atom

BaCaH2F6: optimized geometry, PBE-GGA. Values from VASP.

Structure (Quantum ESPRESSO input):
```
&SYSTEM
  ibrav = 0, nat = 20, ntyp = 4
/
ATOMIC_SPECIES
F 19.00 F.upf
Ca 40.08 Ca.upf
H 1.01 H.upf
Ba 137.33 Ba.upf
CELL_PARAMETERS angstrom
6.4836 -0.1827 -0.2437
-0.9751 6.4125 -0.2437
-1.8454 -2.0870 6.6128
ATOMIC_POSITIONS angstrom
F 2.3808 3.3055 5.7948
F 0.3573 4.5235 4.2078
F 0.7533 2.6267 2.3953
F 3.3058 -0.3807 1.9176
F 3.9119 3.8111 2.4884
F -1.7053 2.1909 5.2240
F 5.3684 1.9519 0.9014
F -0.2487 0.3317 3.6370
F 2.9099 1.5161 3.7302
F 1.2823 0.8373 0.3306
F 2.0711 4.1171 0.4238
F 1.5920 0.0257 5.7017
Ca 0.7499 2.0982 4.7159
Ca 2.9133 2.0446 1.4095
H 3.8843 1.8882 4.3630
H -0.2212 2.2546 1.7624
H 2.3211 5.1298 1.0566
H 1.3421 -0.9870 5.0688
Ba 4.2592 -1.0048 4.7159
Ba -0.5960 5.1476 1.4095
```

Results
space-group type = C2/c, No. 15
raw total energy = -103.131 eV for the cell shown

no.,spin magnetization (μB per cell)
1,0.36
2,0.29